[1]
Cs3U3AlS8, optimized geometry, DFT PBE; total moment = 7.91 μB/cell; density = 5.1 g/cm3; E_form (uncorrected) = -29.57 kcal/mol of atoms; calculated volume = 30.22 Å³/atom
1.0
3.987 2.302 8.232
-3.987 2.302 8.232
0.000 -4.604 8.232
Cs U Al S
3 3 1 8
Direct
0.000 0.500 0.500
0.500 0.000 0.500
0.500 0.500 0.000
0.000 0.000 0.500
0.000 0.500 0.000
0.500 0.000 0.000
0.500 0.500 0.500
0.228 0.228 0.228
0.247 0.710 0.710
0.290 0.290 0.753
0.290 0.753 0.290
0.710 0.247 0.710
0.710 0.710 0.247
0.753 0.290 0.290
0.772 0.772 0.772



[2]
Cs2UAl2S6, optimized geometry, DFT PBE; total moment = 2.00 μB/cell; density = 3.5 g/cm3; E_form (uncorrected) = -26.08 kcal/mol of atoms; calculated volume = 32.19 Å³/atom
1.0
3.697 2.135 7.477
-3.697 2.135 7.477
0.000 -4.269 7.477
Cs U Al S
2 1 2 6
Direct
0.216 0.216 0.216
0.784 0.784 0.784
0.000 0.000 0.000
0.404 0.404 0.404
0.596 0.596 0.596
0.240 0.240 0.748
0.240 0.748 0.240
0.252 0.760 0.760
0.748 0.240 0.240
0.760 0.252 0.760
0.760 0.760 0.252



[3]
CsAlZnS3, optimized geometry, DFT PBE; total moment = 0.00 μB/cell; density = 3.7 g/cm3; E_form (uncorrected) = -23.06 kcal/mol of atoms; calculated volume = 24.24 Å³/atom
1.0
3.695 0.000 0.000
0.000 10.098 0.000
-1.848 0.000 7.793
Cs Al Zn S
2 2 2 6
Direct
0.243 0.250 0.485
0.757 0.750 0.515
0.500 0.000 0.000
0.500 0.500 0.000
0.037 0.750 0.074
0.963 0.250 0.926
0.102 0.544 0.204
0.102 0.956 0.204
0.447 0.750 0.893
0.553 0.250 0.107
0.898 0.044 0.796
0.898 0.456 0.796